1.
Density functional theory data (PBE-GGA) for a relaxed structure of Tb4ErBi5.

Lattice parameters (Å, degrees): 4.4807 4.4807 16.1495 97.97 97.97 90.00
Fractional positions:
Bi 0.3000 0.3000 0.5999
Bi 0.9007 0.9007 0.8013
Tb 0.5999 0.5999 0.1998
Er 0.0000 0.0000 0.0000
Bi 0.0993 0.0993 0.1987
Tb 0.8003 0.8003 0.6007
Bi 0.7000 0.7000 0.4001
Tb 0.1997 0.1997 0.3993
Bi 0.5000 0.5000 0.0000
Tb 0.4001 0.4001 0.8002

Summary:
As for the symmetry: I4/mmm, No. 139. Its density of states at the Fermi level is 0.12 states/eV per atom. Its total energy is -5.116 eV/atom.

2.
Density functional theory data (PBE-GGA) for a relaxed structure of LaBeAl.

Lattice parameters (Å, degrees): 4.5816 4.5816 4.5816 60.00 60.00 60.00
Fractional positions:
La 0.0000 0.0000 0.0000
Al 0.5000 0.5000 0.5000
Be 0.2500 0.2500 0.2500

Summary:
As for the symmetry: F-43m, No. 216. For the relative energy among the computed polymorphs, the calculation gives 94 meV per atom. Its density of states at the Fermi level is 0.11 states/eV per atom.

3.
Density functional theory data (PBE-GGA) for a relaxed structure of La3CeSm4Te8.

Lattice parameters (Å, degrees): 9.0200 8.9936 9.0181 120.08 120.01 90.00
Fractional positions:
Te 0.2512 0.7573 0.0061
Te 0.2450 0.2427 0.9939
Te 0.2469 0.2408 0.4939
Ce 0.0000 0.5000 0.0000
La 0.0000 0.5000 0.5000
Sm 0.0000 0.0000 0.0000
La 0.5000 0.5000 0.5000
Te 0.7531 0.7592 0.5061
La 0.5000 0.5000 0.0000
Sm 0.5000 0.0000 0.0000
Te 0.7488 0.2427 0.4977
Te 0.2512 0.7573 0.5023
Te 0.7550 0.7573 0.0061
Te 0.7488 0.2427 0.9939
Sm 0.0000 0.0000 0.5000
Sm 0.5000 0.0000 0.5000

Summary:
As for the symmetry: R-3m, No. 166. Its density of states at the Fermi level is 1.08 states/eV per atom. The value obtained for the uncorrected formation energy is -1.462 eV/atom.

4.
Density functional theory data (PBE-GGA) for a relaxed structure of HfPRhCl2.

Lattice parameters (Å, degrees): 4.8564 4.8564 5.1636 90.00 90.00 90.00
Fractional positions:
Cl 0.0000 0.5000 0.0000
Cl 0.5000 0.0000 0.0000
Hf 0.0000 0.0000 0.0000
Rh 0.5000 0.5000 0.5000
P 0.0000 0.0000 0.5000

Summary:
As for the symmetry: P4/mmm, No. 123. For the relative energy among the computed polymorphs, the calculation gives 0 meV per atom. Its density of states at the Fermi level is 0.34 states/eV per atom. The value obtained for the uncorrected formation energy is 0.026 eV/atom.

5.
Density functional theory data (PBE-GGA) for a relaxed structure of Pm9DyHo2.

Lattice parameters (Å, degrees): 5.1174 5.1174 15.3515 90.00 90.00 90.00
Fractional positions:
Pm 0.0000 0.5000 0.1670
Ho 0.0000 0.0000 0.6665
Pm 0.0000 0.5000 0.8330
Dy 0.0000 0.0000 0.0000
Pm 0.5000 0.5000 0.3336
Pm 0.5000 0.0000 0.1670
Ho 0.0000 0.0000 0.3335
Pm 0.5000 0.5000 0.0000
Pm 0.5000 0.5000 0.6664
Pm 0.0000 0.5000 0.5000
Pm 0.5000 0.0000 0.5000
Pm 0.5000 0.0000 0.8330

Summary:
As for the symmetry: P4/mmm, No. 123. Its density of states at the Fermi level is 1.60 states/eV per atom. Its total energy is -4.693 eV/atom.

6.
Density functional theory data (PBE-GGA) for a relaxed structure of LiCd3Sn.

Lattice parameters (Å, degrees): 4.9371 4.9371 4.9371 90.00 90.00 90.00
Fractional positions:
Sn 0.5000 0.5000 0.5000
Cd 0.0000 0.5000 0.0000
Cd 0.0000 0.0000 0.5000
Cd 0.5000 0.0000 0.0000
Li 0.0000 0.0000 0.0000

Summary:
As for the symmetry: Pm-3m, No. 221. For the relative energy among the computed polymorphs, the calculation gives 286 meV per atom. Its density of states at the Fermi level is 0.40 states/eV per atom.

7.
Density functional theory data (PBE-GGA) for a relaxed structure of Na2MnGa2.

Lattice parameters (Å, degrees): 6.6204 6.6204 5.0760 90.00 90.00 90.00
Fractional positions:
Mn 0.5000 0.5000 0.0000
Na 0.6750 0.8250 0.5000
Ga 0.6430 0.1430 0.0000
Na 0.8250 0.3250 0.5000
Na 0.1750 0.6750 0.5000
Mn 0.0000 0.0000 0.0000
Ga 0.8570 0.6430 0.0000
Ga 0.1430 0.3570 0.0000
Ga 0.3570 0.8570 0.0000
Na 0.3250 0.1750 0.5000

Summary:
As for the symmetry: P4/mbm, No. 127. Its density of states at the Fermi level is 0.44 states/eV per atom. Its total energy is -3.414 eV/atom.

8.
Density functional theory data (PBE-GGA) for a relaxed structure of NaCaNb.

Lattice parameters (Å, degrees): 5.6503 5.6503 2.8112 90.00 90.00 120.00
Fractional positions:
Ca 0.0000 0.0000 0.0000
Nb 0.3333 0.6667 0.0000
Na 0.6667 0.3333 0.5000

Summary:
As for the symmetry: P-6m2, No. 187. For the relative energy among the computed polymorphs, the calculation gives 738 meV per atom. Its density of states at the Fermi level is 1.00 states/eV per atom.

9.
Density functional theory data (PBE-GGA) for a relaxed structure of YBeNO2.

Lattice parameters (Å, degrees): 3.6974 3.6974 3.4606 90.00 90.00 90.00
Fractional positions:
O 0.5000 0.0000 0.0000
O 0.0000 0.5000 0.0000
Y 0.5000 0.5000 0.5000
N 0.0000 0.0000 0.5000
Be 0.0000 0.0000 0.0000

Summary:
As for the symmetry: P4/mmm, No. 123. Its density of states at the Fermi level is 0.49 states/eV per atom. The value obtained for the uncorrected formation energy is -1.552 eV/atom.

10.
Density functional theory data (PBE-GGA) for a relaxed structure of Na2Tm2US6.

Lattice parameters (Å, degrees): 6.8416 6.8416 7.1107 99.18 99.18 120.03
Fractional positions:
Na 0.1685 0.8315 0.0000
U 0.0000 0.0000 0.5000
S 0.5951 0.9309 0.2814
S 0.9309 0.5951 0.2814
S 0.7435 0.7435 0.7181
Tm 0.6662 0.3338 0.5000
Tm 0.3338 0.6662 0.5000
S 0.2565 0.2565 0.2819
S 0.0691 0.4049 0.7186
Na 0.8315 0.1685 0.0000
S 0.4049 0.0691 0.7186

Summary:
As for the symmetry: C2/m, No. 12. Its density of states at the Fermi level is 0.58 states/eV per atom. The value obtained for the uncorrected formation energy is -1.698 eV/atom.

11.
Density functional theory data (PBE-GGA) for a relaxed structure of La3FeTc.

Lattice parameters (Å, degrees): 5.4360 5.4360 5.4360 90.00 90.00 90.00
Fractional positions:
La 0.5000 0.0000 0.0000
La 0.0000 0.0000 0.5000
Tc 0.0000 0.0000 0.0000
Fe 0.5000 0.5000 0.5000
La 0.0000 0.5000 0.0000

Summary:
As for the symmetry: Pm-3m, No. 221. For the relative energy among the computed polymorphs, the calculation gives 0 meV per atom. Its density of states at the Fermi level is 1.66 states/eV per atom.

12.
Density functional theory data (PBE-GGA) for a relaxed structure of AcGe2Pd5Au.

Lattice parameters (Å, degrees): 4.8921 4.8921 7.2319 90.00 90.00 90.00
Fractional positions:
Ge 0.5000 0.5000 0.1625
Pd 0.0000 0.5000 0.7821
Pd 0.0000 0.5000 0.2179
Pd 0.5000 0.0000 0.2179
Pd 0.5000 0.0000 0.7821
Pd 0.5000 0.5000 0.5000
Au 0.0000 0.0000 0.0000
Ge 0.5000 0.5000 0.8375
Ac 0.0000 0.0000 0.5000

Summary:
As for the symmetry: P4/mmm, No. 123. Its density of states at the Fermi level is 0.33 states/eV per atom. Its total energy is -5.170 eV/atom.

13.
Density functional theory data (PBE-GGA) for a relaxed structure of HoZrNiRu.

Lattice parameters (Å, degrees): 4.6865 4.6865 4.6865 60.00 60.00 60.00
Fractional positions:
Ho 0.2500 0.2500 0.2500
Ni 0.5000 0.5000 0.5000
Ru 0.0000 0.0000 0.0000
Zr 0.7500 0.7500 0.7500

Summary:
As for the symmetry: F-43m, No. 216. Its density of states at the Fermi level is 0.64 states/eV per atom. Its total energy is -7.469 eV/atom.

14.
Density functional theory data (PBE-GGA) for a relaxed structure of Ir2Ru2Au.

Lattice parameters (Å, degrees): 7.5693 7.5693 2.7441 90.00 90.00 90.00
Fractional positions:
Ru 0.6220 0.1220 0.0000
Ir 0.3292 0.1708 0.5000
Ru 0.1220 0.3780 0.0000
Ir 0.8292 0.3292 0.5000
Ru 0.8780 0.6220 0.0000
Ir 0.6708 0.8292 0.5000
Au 0.0000 0.0000 0.0000
Ir 0.1708 0.6708 0.5000
Ru 0.3780 0.8780 0.0000
Au 0.5000 0.5000 0.0000

Summary:
As for the symmetry: P4/mbm, No. 127. For the relative energy among the computed polymorphs, the calculation gives 25 meV per atom. Its density of states at the Fermi level is 1.18 states/eV per atom.

15.
Density functional theory data (PBE-GGA) for a relaxed structure of NaZn2O.

Lattice parameters (Å, degrees): 7.3302 7.3302 5.6722 49.75 49.75 90.00
Fractional positions:
Zn 0.2160 0.6250 0.2500
Zn 0.3750 0.4660 0.7500
Na 0.0000 0.0000 0.0000
Zn 0.8750 0.7840 0.7500
O 0.2500 0.7500 0.5000
Zn 0.5340 0.1250 0.2500
Na 0.7500 0.2500 0.5000
O 0.5000 0.5000 0.0000

Summary:
As for the symmetry: I-42d, No. 122. Its density of states at the Fermi level is 0.32 states/eV per atom. The value obtained for the uncorrected formation energy is -0.497 eV/atom.

16.
Density functional theory data (PBE-GGA) for a relaxed structure of PrNd4Sm7.

Lattice parameters (Å, degrees): 7.3634 6.3739 11.7081 79.55 51.00 90.00
Fractional positions:
Sm 0.2493 0.5001 0.0004
Sm 0.9170 0.7223 0.3324
Sm 0.0830 0.2777 0.6676
Nd 0.8317 0.7776 0.6683
Sm 0.5000 0.0000 0.0000
Nd 0.4174 0.7219 0.3331
Nd 0.5826 0.2781 0.6669
Sm 0.7507 0.4999 0.9996
Pr 0.0000 0.0000 0.0000
Sm 0.6680 0.2221 0.3321
Nd 0.1683 0.2224 0.3317
Sm 0.3320 0.7779 0.6679

Summary:
As for the symmetry: P-1, No. 2. For the relative energy among the computed polymorphs, the calculation gives 0 meV per atom. Its density of states at the Fermi level is 1.27 states/eV per atom.

17.
Density functional theory data (PBE-GGA) for a relaxed structure of Be2IrRh.

Lattice parameters (Å, degrees): 7.1241 7.1241 7.1241 22.48 22.48 22.48
Fractional positions:
Rh 0.7500 0.7500 0.7500
Be 0.4993 0.4993 0.4993
Ir 0.2500 0.2500 0.2500
Be 0.0007 0.0007 0.0007

Summary:
As for the symmetry: R-3m, No. 166. Its density of states at the Fermi level is 0.99 states/eV per atom. Its total energy is -6.262 eV/atom.

18.
Density functional theory data (PBE-GGA) for a relaxed structure of NaLiAs2S4.

Lattice parameters (Å, degrees): 6.1911 6.7287 6.7287 52.43 62.61 62.61
Fractional positions:
S 0.4527 0.0835 0.6253
S 0.1616 0.9165 0.3747
Li 0.5000 0.5000 0.5000
Na 0.0000 0.0000 0.0000
S 0.8384 0.6253 0.0835
S 0.5473 0.3747 0.9165
As 0.2225 0.2775 0.2775
As 0.7775 0.7225 0.7225

Summary:
As for the symmetry: I222, No. 23. For the relative energy among the computed polymorphs, the calculation gives 97 meV per atom. The value obtained for the uncorrected formation energy is -0.501 eV/atom.

19.
Density functional theory data (PBE-GGA) for a relaxed structure of Al4H.

Lattice parameters (Å, degrees): 4.0981 4.0981 4.0981 90.00 90.00 90.00
Fractional positions:
Al 0.0000 0.0000 0.5000
Al 0.0000 0.5000 0.0000
Al 0.5000 0.5000 0.5000
Al 0.5000 0.0000 0.0000
H 0.0000 0.0000 0.0000

Summary:
As for the symmetry: Pm-3m, No. 221. Its density of states at the Fermi level is 0.36 states/eV per atom. Its total energy is -3.523 eV/atom.

20.
Density functional theory data (PBE-GGA) for a relaxed structure of AlTlN2F.

Lattice parameters (Å, degrees): 3.9534 3.7320 3.9534 90.00 90.00 90.00
Fractional positions:
N 0.0000 0.0000 0.5000
Al 0.0000 0.0000 0.0000
F 0.0000 0.5000 0.0000
Tl 0.5000 0.5000 0.5000
N 0.5000 0.0000 0.0000

Summary:
As for the symmetry: P4/mmm, No. 123. For the relative energy among the computed polymorphs, the calculation gives 0 meV per atom. Its density of states at the Fermi level is 0.42 states/eV per atom. The value obtained for the uncorrected formation energy is -0.284 eV/atom.

21.
Density functional theory data (PBE-GGA) for a relaxed structure of ErAl11Rh.

Lattice parameters (Å, degrees): 5.1617 7.1550 6.8328 83.03 67.81 71.27
Fractional positions:
Al 0.6447 0.3576 0.3503
Al 0.5000 0.0000 0.5000
Al 0.3553 0.6424 0.6497
Al 0.9950 0.3576 0.6497
Al 0.0050 0.6424 0.3503
Er 0.0000 0.0000 0.0000
Al 0.0000 0.0000 0.5000
Al 0.0000 0.5000 0.0000
Rh 0.5000 0.5000 0.0000
Al 0.7163 0.7763 0.7842
Al 0.2837 0.2237 0.2158
Al 0.4995 0.2237 0.7842
Al 0.5005 0.7763 0.2158

Summary:
As for the symmetry: C2/m, No. 12. Its density of states at the Fermi level is 0.36 states/eV per atom. Its total energy is -4.359 eV/atom.

22.
Density functional theory data (PBE-GGA) for a relaxed structure of Cs4Ce3HoSe8.

Lattice parameters (Å, degrees): 8.7881 9.7882 8.7888 116.70 120.00 90.00
Fractional positions:
Cs 0.0000 0.0000 0.0000
Ho 0.0000 0.5000 0.0000
Cs 0.5000 0.0000 0.5000
Ce 0.5000 0.5000 0.0000
Cs 0.5000 0.0000 0.0000
Se 0.2624 0.3130 0.0376
Se 0.7301 0.6900 0.4601
Ce 0.5000 0.5000 0.5000
Se 0.2248 0.6870 0.9624
Cs 0.0000 0.0000 0.5000
Se 0.7376 0.6870 0.9624
Se 0.2248 0.6870 0.4495
Se 0.7752 0.3130 0.5505
Ce 0.0000 0.5000 0.5000
Se 0.7752 0.3130 0.0376
Se 0.2699 0.3100 0.5399

Summary:
As for the symmetry: R-3m, No. 166. Its density of states at the Fermi level is 1.15 states/eV per atom. The value obtained for the uncorrected formation energy is -1.675 eV/atom.

23.
Density functional theory data (PBE-GGA) for a relaxed structure of NdErCd3.

Lattice parameters (Å, degrees): 3.4816 5.0264 14.9436 90.00 96.69 90.00
Fractional positions:
Cd 0.6236 0.7500 0.2471
Cd 0.3764 0.2500 0.7529
Cd 0.6781 0.2500 0.3563
Cd 0.4757 0.2500 0.9513
Nd 0.0754 0.2500 0.1507
Cd 0.3219 0.7500 0.6437
Nd 0.9246 0.7500 0.8493
Er 0.7850 0.2500 0.5699
Cd 0.5243 0.7500 0.0487
Er 0.2150 0.7500 0.4301

Summary:
As for the symmetry: Cmcm, No. 63. Its density of states at the Fermi level is 0.96 states/eV per atom. Its total energy is -2.720 eV/atom.

24.
Density functional theory data (PBE-GGA) for a relaxed structure of DyMgC.

Lattice parameters (Å, degrees): 3.5975 3.5975 10.0795 100.28 100.28 90.00
Fractional positions:
Dy 0.3102 0.3102 0.6204
Dy 0.6898 0.6898 0.3796
Mg 0.0739 0.0739 0.1478
Mg 0.9261 0.9261 0.8522
C 0.8161 0.8161 0.6321
C 0.1839 0.1839 0.3679

Summary:
As for the symmetry: I4/mmm, No. 139. Its density of states at the Fermi level is 0.34 states/eV per atom. Its total energy is -5.106 eV/atom.

25.
Density functional theory data (PBE-GGA) for a relaxed structure of BaZnNi2.

Lattice parameters (Å, degrees): 5.2606 5.2606 5.2606 134.19 112.48 85.45
Fractional positions:
Ba 0.7545 0.2545 0.5000
Zn 0.4172 0.4172 0.0000
Ni 0.1012 0.1012 0.0000
Ni 0.2272 0.7272 0.5000

Summary:
As for the symmetry: Imm2, No. 44. Its density of states at the Fermi level is 0.79 states/eV per atom. Its total energy is -3.447 eV/atom.